MnZnNO2 (GGA+U, optimized geometry); symmetry = P4/mmm; final energy = -25.97 eV/f.u.; V = 58.5 Å³/f.u.
1.0
-0.127 3.522 1.750
-3.585 0.616 -1.501
-1.554 -1.578 3.062
O Zn N Mn
2 1 1 1
direct
0.000 0.500 0.000
0.500 0.000 0.000
0.000 0.000 0.000
0.000 0.000 0.500
0.500 0.500 0.500